An optimized crystal structure of RbCdGa, computed with PBE.

For the offset from the most stable computed form, the calculation gives 21 meV per atom. For the total energy, the calculation gives -1.6351 eV/atom. The density of states at the Fermi level comes out at 0.9 states/eV/f.u.

The structure belongs to space group P2_1/m (No. 11); the cell edges are 5.835, 4.969 and 7.068 Å and the angles 90.00°, 109.91° and 90.00°. The distinct sites, in fractional coordinates, are Rb at (0.240, 0.250, 0.021), Cd at (0.149, 0.750, 0.571) and Ga at (0.421, 0.250, 0.576).